Sc2Ga5Co | PBE | relaxed

E (eV per atom): -4.788
Calculated density (Mg/m³): 6.3
Energy of formation from the pure elements (eV/atom): -0.425
Density of states at the Fermi level (states/eV/f.u.): 5.27
Volume (Å³ per cell): 130.4

Cell and atoms, written as POSCAR:
```
Sc2Ga5Co
1.0
5.7018 -0.0425 -0.0606
-2.8442 4.9419 0.0606
-2.8442 -1.6242 4.6678
Sc Ga Co
2 5 1
Direct
0.5000 0.2778 0.7778
0.5000 0.7778 0.2778
0.4998 0.7777 0.7777
0.0000 0.7777 0.2779
0.0000 0.2779 0.7777
0.5002 0.2779 0.2779
0.0000 0.2775 0.2775
0.0000 0.7780 0.7780
```